Computed, not measured: AgAu2 after structural relaxation at the PBE level of DFT.

Cell and atoms, written as CIF:
```
data_AgAu2
_symmetry_space_group_name_H-M 'P 1'
_symmetry_Int_Tables_number 1
_cell_length_a 6.592
_cell_length_b 6.592
_cell_length_c 6.592
_cell_angle_alpha 154.29
_cell_angle_beta 154.29
_cell_angle_gamma 36.68
loop_
_symmetry_equiv_pos_as_xyz
'x,y,z'
loop_
_atom_site_label
_atom_site_fract_x
_atom_site_fract_y
_atom_site_fract_z
Au1 0.166 0.166 0.000
Au2 0.834 0.834 0.000
Ag1 0.500 0.500 0.000
```

Magnetic moment = 0.00 μB per cell
Energy above the most stable polymorph in this dataset = 4 meV/atom
Density of states at the Fermi level = 0.49 states/eV per cell
Space-group type = I4/mmm, No. 139
V = 17.95 Å³/atom